Entry 1:
TmAuI | PBE | relaxed

Output
- Volume: 95 Å³/f.u.
- Energy relative to the elements, uncorrected: -0.69 eV per atom
- Mass density: 8.646 g/cm³
- Fermi-level density of states: 0.76 states/eV/f.u.

Lattice parameters (Å, degrees): 4.5676 8.2635 6.5963 54.53 69.74 73.96
With the nearest neighbours (Å) after each atom.
Positions (direct):
Tm  0.3687  0.8486  0.4139  3 Au 2.77-2.96, 1 I 3.10
Tm  0.6313  0.1514  0.5861  3 Au 2.77-2.96, 1 I 3.10
Au  0.8788  0.0690  0.1733  3 Tm 2.77-2.96, 1 Au 2.89
Au  0.1212  0.9310  0.8267  3 Tm 2.77-2.96, 1 Au 2.89
I  0.6205  0.6090  0.1500  2 Tm 3.10-3.15, 2 Au 3.20
I  0.3795  0.3910  0.8500  2 Tm 3.10-3.15, 2 Au 3.20



Entry 2:
UAu3I9 | PBE | relaxed

Output
- Volume: 631 Å³/f.u.
- Energy relative to the elements, uncorrected: -0.35 eV per atom
- Mass density: 5.190 g/cm³
- Fermi-level density of states: 4.95 states/eV/f.u.

Lattice parameters (Å, degrees): 11.3138 11.4530 12.5446 76.33 63.20 60.40
With the nearest neighbours (Å) after each atom.
Positions (direct):
U  0.0442  0.5269  0.0067  6 I 2.86-2.96
U  0.4222  0.0269  0.5067  6 I 2.86-2.96
Au  0.8821  0.4982  0.6044  2 I 2.59-2.61
Au  0.0153  0.9982  0.1044  2 I 2.59-2.61
Au  0.9051  0.8414  0.8817  4 I 2.73-2.86
Au  0.3718  0.3414  0.3817  4 I 2.73-2.86
Au  0.7171  0.2236  0.7257  2 I 2.59-2.60
Au  0.3335  0.7236  0.2257  2 I 2.59-2.60
I  0.4129  0.1383  0.2706  1 Au 2.73, 1 U 2.96
I  0.1782  0.6383  0.7706  1 Au 2.73, 1 U 2.96
I  0.3292  0.2957  0.9482  1 U 2.88
I  0.4269  0.7957  0.4482  1 U 2.88
I  0.1053  0.1568  0.6086  1 U 2.86
I  0.1293  0.6568  0.1086  1 U 2.86
I  0.7400  0.7470  0.0849  1 Au 2.75, 1 U 2.95
I  0.4280  0.2470  0.5849  1 Au 2.75, 1 U 2.95
I  0.7387  0.9072  0.3972  1 U 2.86
I  0.9569  0.4072  0.8972  1 U 2.86
I  0.4215  0.9034  0.7343  1 U 2.87
I  0.9408  0.4034  0.2343  1 U 2.87
I  0.5277  0.4743  0.2076  2 Au 2.59-2.79
I  0.7904  0.9743  0.7076  2 Au 2.59-2.79
I  0.6390  0.4758  0.7404  2 Au 2.60-2.61
I  0.1448  0.9758  0.2404  2 Au 2.60-2.61
I  0.8741  0.0689  0.9675  2 Au 2.59-2.86
I  0.0895  0.5689  0.4675  2 Au 2.59-2.86



Entry 3:
UAuI6 | PBE | relaxed

Output
- Volume: 375 Å³/f.u.
- Energy relative to the elements, uncorrected: -0.53 eV per atom
- Mass density: 5.301 g/cm³
- Fermi-level density of states: 2.55 states/eV/f.u.

Lattice parameters (Å, degrees): 8.1737 7.9386 7.7814 104.53 105.87 119.57
With the nearest neighbours (Å) after each atom.
Positions (direct):
U  0.0000  0.5000  0.0000  6 I 2.90-2.98
Au  0.0000  0.0000  0.0000  4 I 2.89
I  0.8339  0.0777  0.6750  1 Au 2.89, 1 U 2.98
I  0.1589  0.4027  0.3250  1 Au 2.89, 1 U 2.98
I  0.8411  0.5973  0.6750  1 Au 2.89, 1 U 2.98
I  0.1661  0.9223  0.3250  1 Au 2.89, 1 U 2.98
I  0.4077  0.7032  0.0000  1 U 2.90
I  0.5923  0.2968  0.0000  1 U 2.90